This record from the Alexandria database describes La8Dy2Sc3 after structural relaxation. The functional is PBE.

Cell: 13.292 11.717 5.995 Å, 90.00 111.05 90.00°
Space group C2/m (No. 12)
Unique sites:
La1 0.055 0.000 0.287 x4
La2 0.140 0.500 0.591 x4
La3 0.155 0.257 0.139 x8
Dy1 0.203 0.000 0.839 x4
Sc1 0.000 0.242 0.500 x4
Sc2 0.000 0.500 0.000 x2

DOS at the Fermi energy: 19.991 states/eV/f.u.
DFT total energy: -5.03 eV/atom
E_form: 0.175 eV per atom



This record from the Alexandria database describes La3Dy2Sc after structural relaxation. The functional is PBE.

Cell: 7.202 7.233 9.014 Å, 78.05 77.92 60.40°
Space group P-1 (No. 2)
Unique sites:
La1 0.136 0.137 0.172 x2
La2 0.144 0.636 0.166 x2
La3 0.252 0.249 0.505 x2
Dy1 0.364 0.861 0.832 x2
Dy2 0.367 0.365 0.824 x2
Sc1 0.257 0.744 0.504 x2

DOS at the Fermi energy: 8.648 states/eV/f.u.
DFT total energy: -5.01 eV/atom
E_form: 0.047 eV per atom



This record from the Alexandria database describes La4Dy4Sc after structural relaxation. The functional is PBE.

Cell: 10.791 10.791 5.135 Å, 90.00 90.00 90.00°
Space group I4/mmm (No. 139)
Unique sites:
La1 0.000 0.330 0.000 x8
Dy1 0.162 0.162 0.500 x8
Sc1 0.000 0.000 0.000 x2

DOS at the Fermi energy: 18.215 states/eV/f.u.
DFT total energy: -4.89 eV/atom
E_form: 0.047 eV per atom



This record from the Alexandria database describes LaDySc2 after structural relaxation. The functional is PBE.

Cell: 6.007 3.471 11.204 Å, 90.00 100.35 90.00°
Space group C2/m (No. 12)
Unique sites:
La1 0.000 0.000 0.000 x2
Dy1 0.000 0.500 0.500 x2
Sc1 0.249 0.000 0.746 x4

energy above the lowest structure with this stoichiometry: 5 meV/atom
DOS at the Fermi energy: 5.116 states/eV/f.u.
DFT total energy: -5.48 eV/atom
E_form: 0.069 eV per atom



This record from the Alexandria database describes LaDy8Sc4 after structural relaxation. The functional is PBE.

Cell: 7.1314 7.1314 26.4019 Å, 90.00 90.00 120.00°
Space group R-3m (No. 166, hexagonal axes)
Unique sites:
La1 0.0000 0.0000 0.0000 x3
Dy1 0.0000 0.0000 0.2794 x6
Dy2 0.0323 0.5162 0.2644 x18
Sc1 0.0000 0.0000 0.5000 x3
Sc2 0.0000 0.5000 0.5000 x9

DOS at the Fermi energy: 18.325 states/eV/f.u.
DFT total energy: -4.93 eV/atom
E_form: 0.227 eV per atom



This record from the Alexandria database describes LaDySc3 after structural relaxation. The functional is PBE.

Cell: 14.565 12.652 6.329 Å, 90.00 103.86 90.00°
Space group C2/c (No. 15)
Unique sites:
La1 0.105 0.076 0.451 x8
Dy1 0.000 0.317 0.250 x4
Dy2 0.000 0.420 0.750 x4
Sc1 0.106 0.192 0.946 x8
Sc2 0.198 0.420 0.142 x8
Sc3 0.203 0.316 0.657 x8

DOS at the Fermi energy: 8.684 states/eV/f.u.
DFT total energy: -5.63 eV/atom
E_form: 0.071 eV per atom



This record from the Alexandria database describes La2Dy7Sc2 after structural relaxation. The functional is PBE.

Cell: 3.538 17.354 11.572 Å, 90.00 90.00 90.00°
Space group Imm2 (No. 44)
Unique sites:
La1 0.000 0.207 0.000 x4
Dy1 0.000 0.000 0.077 x2
Dy2 0.000 0.107 0.507 x4
Dy3 0.000 0.332 0.753 x4
Dy4 0.000 0.338 0.248 x4
Sc1 0.000 0.000 0.774 x2
Sc2 0.000 0.500 0.825 x2

energy above the lowest structure with this stoichiometry: 19 meV/atom
DOS at the Fermi energy: 18.038 states/eV/f.u.
DFT total energy: -4.79 eV/atom
E_form: 0.187 eV per atom



This record from the Alexandria database describes La2Dy3Sc after structural relaxation. The functional is PBE.

Cell: 5.034 15.089 5.079 Å, 90.00 90.00 90.00°
Space group Cmmm (No. 65)
Unique sites:
La1 0.000 0.162 0.000 x4
Dy1 0.000 0.000 0.500 x2
Dy2 0.000 0.336 0.500 x4
Sc1 0.000 0.500 0.000 x2

energy above the lowest structure with this stoichiometry: 0 meV/atom
DOS at the Fermi energy: 10.506 states/eV/f.u.
DFT total energy: -4.95 eV/atom
E_form: 0.053 eV per atom



This record from the Alexandria database describes LaDy7Sc2 after structural relaxation. The functional is PBE.

Cell: 17.887 5.352 6.958 Å, 90.00 112.85 90.00°
Space group C2/m (No. 12)
Unique sites:
La1 0.000 0.000 0.000 x2
Dy1 0.000 0.000 0.500 x2
Dy2 0.113 0.500 0.367 x4
Dy3 0.113 0.500 0.860 x4
Dy4 0.203 0.000 0.204 x4
Sc1 0.199 0.000 0.699 x4

energy above the lowest structure with this stoichiometry: 0 meV/atom
DOS at the Fermi energy: 17.545 states/eV/f.u.
DFT total energy: -4.94 eV/atom
E_form: 0.043 eV per atom



This record from the Alexandria database describes La4DySc after structural relaxation. The functional is PBE.

Cell: 5.9465 5.9465 19.9280 Å, 90.00 90.00 120.00°
Space group R-3m (No. 166, hexagonal axes)
Unique sites:
La1 0.0000 0.0000 0.1612 x6
La2 0.0000 0.0000 0.3289 x6
Dy1 0.0000 0.0000 0.5000 x3
Sc1 0.0000 0.0000 0.0000 x3

energy above the lowest structure with this stoichiometry: 293 meV/atom
DOS at the Fermi energy: 14.352 states/eV/f.u.
DFT total energy: -4.76 eV/atom
E_form: 0.345 eV per atom



This record from the Alexandria database describes LaDy2Sc after structural relaxation. The functional is PBE.

Cell: 7.949 7.949 7.949 Å, 90.00 90.00 90.00°
Space group Fm-3m (No. 225)
Unique sites:
La1 0.000 0.000 0.000 x4
Dy1 0.250 0.250 0.250 x8
Sc1 0.000 0.000 0.500 x4

energy above the lowest structure with this stoichiometry: 130 meV/atom
DOS at the Fermi energy: 9.534 states/eV/f.u.
DFT total energy: -4.95 eV/atom
E_form: 0.164 eV per atom



This record from the Alexandria database describes La8Dy3Sc after structural relaxation. The functional is PBE.

Cell: 8.761 8.761 11.791 Å, 90.00 90.00 90.00°
Space group I-42m (No. 121)
Unique sites:
La1 0.125 0.125 0.246 x8
La2 0.243 0.243 0.987 x8
Dy1 0.000 0.000 0.500 x2
Dy2 0.000 0.500 0.250 x4
Sc1 0.000 0.000 0.000 x2

DOS at the Fermi energy: 21.685 states/eV/f.u.
DFT total energy: -4.46 eV/atom
E_form: 0.503 eV per atom



This record from the Alexandria database describes LaDySc2 after structural relaxation. The functional is PBE.

Cell: 3.4847 3.4847 32.9957 Å, 90.00 90.00 120.00°
Space group R3m (No. 160, hexagonal axes)
Unique sites:
La1 0.0000 0.0000 0.0000 x3
Dy1 0.0000 0.0000 0.1663 x3
Sc1 0.0000 0.0000 0.4180 x3
Sc2 0.0000 0.0000 0.5815 x3

energy above the lowest structure with this stoichiometry: 2 meV/atom
DOS at the Fermi energy: 6.897 states/eV/f.u.
DFT total energy: -5.48 eV/atom
E_form: 0.066 eV per atom



This record from the Alexandria database describes La2Dy5Sc after structural relaxation. The functional is PBE.

Cell: 5.052 5.052 20.044 Å, 90.00 90.00 90.00°
Space group I4/mmm (No. 139)
Unique sites:
La1 0.000 0.000 0.250 x4
Dy1 0.000 0.000 0.000 x2
Dy2 0.000 0.500 0.119 x8
Sc1 0.000 0.000 0.500 x2

DOS at the Fermi energy: 14.169 states/eV/f.u.
DFT total energy: -4.85 eV/atom
E_form: 0.047 eV per atom



This record from the Alexandria database describes La3Dy3ScSe8 after structural relaxation. The functional is PBE.

Cell: 8.2470 8.2470 20.7609 Å, 90.00 90.00 120.00°
Space group R-3m (No. 166, hexagonal axes)
Unique sites:
La1 0.0000 0.5000 0.0000 x9
Dy1 0.0000 0.5000 0.5000 x9
Sc1 0.0000 0.0000 0.5000 x3
Se1 0.0000 0.0000 0.2439 x6
Se2 0.0057 0.5028 0.2427 x18

DOS at the Fermi energy: 8.131 states/eV/f.u.
ΔE_f (raw): -1.887 eV per atom
DFT total energy: -6.07 eV/atom



This record from the Alexandria database describes La4Dy3ScSe8 after structural relaxation. The functional is PBE.

Cell: 8.2711 8.2711 20.7932 Å, 90.00 90.00 120.00°
Space group R-3m (No. 166, hexagonal axes)
Unique sites:
La1 0.0000 0.0000 0.0000 x3
La2 0.0000 0.5000 0.0000 x9
Dy1 0.0000 0.5000 0.5000 x9
Sc1 0.0000 0.0000 0.5000 x3
Se1 0.0000 0.0000 0.2435 x6
Se2 0.0074 0.5037 0.2419 x18

DOS at the Fermi energy: 10.604 states/eV/f.u.
ΔE_f (raw): -1.849 eV per atom
DFT total energy: -6.08 eV/atom



This record from the Alexandria database describes LaDyScSe3 after structural relaxation. The functional is PBE.

Cell: 8.438 4.102 9.363 Å, 90.00 105.33 90.00°
Space group P2_1/m (No. 11)
Unique sites:
La1 0.184 0.250 0.218 x2
Dy1 0.343 0.750 0.862 x2
Sc1 0.106 0.250 0.599 x2
Se1 0.102 0.250 0.881 x2
Se2 0.236 0.750 0.490 x2
Se3 0.440 0.750 0.182 x2

DOS at the Fermi energy: 3.644 states/eV/f.u.
ΔE_f (raw): -1.641 eV per atom
DFT total energy: -6.03 eV/atom



This record from the Alexandria database describes La2DyScSe6 after structural relaxation. The functional is PBE.

Cell: 6.937 7.678 12.316 Å, 90.00 123.42 90.00°
Space group P2_1/c (No. 14)
Unique sites:
La1 0.206 0.103 0.247 x4
Dy1 0.500 0.000 0.000 x2
Sc1 0.000 0.000 0.500 x2
Se1 0.102 0.190 0.934 x4
Se2 0.253 0.680 0.934 x4
Se3 0.380 0.042 0.742 x4

ΔE_f (raw): -1.919 eV per atom
DFT total energy: -6.09 eV/atom



This record from the Alexandria database describes LaDy2ScSe4 after structural relaxation. The functional is PBE.

Cell: 7.086 4.049 7.168 Å, 90.00 108.86 90.00°
Space group P2/m (No. 10)
Unique sites:
La1 0.000 0.000 0.000 x1
Dy1 0.500 0.000 0.500 x1
Dy2 0.500 0.500 0.000 x1
Sc1 0.000 0.500 0.500 x1
Se1 0.246 0.000 0.735 x2
Se2 0.257 0.500 0.267 x2

DOS at the Fermi energy: 5.219 states/eV/f.u.
ΔE_f (raw): -1.737 eV per atom
DFT total energy: -6.04 eV/atom



This record from the Alexandria database describes LaDy2ScSe6 after structural relaxation. The functional is PBE.

Cell: 7.2185 7.2185 19.3210 Å, 90.00 90.00 120.00°
Space group R3 (No. 146, hexagonal axes)
Unique sites:
La1 0.0000 0.0000 0.0000 x3
Dy1 0.0000 0.0000 0.2923 x3
Dy2 0.0000 0.0000 0.8000 x3
Sc1 0.0000 0.0000 0.4889 x3
Se1 0.0224 0.7212 0.3959 x9
Se2 0.0257 0.3424 0.5599 x9

DOS at the Fermi energy: 0.000 states/eV/f.u.
ΔE_f (raw): -1.818 eV per atom
DFT total energy: -5.96 eV/atom